The following is a PBE with a Hubbard U calculation of a relaxed structure of Nd6VO12, from Alexandria.

The structure in CIF format:
```
data_Nd6VO12
_chemical_formula_sum 'Nd18 V3 O36'
_symmetry_space_group_name_H-M 'R -3'
_symmetry_Int_Tables_number 148
_symmetry_space_group_name_Hall '-R 3'
_cell_length_a 10.1108
_cell_length_b 10.1108
_cell_length_c 9.7123
_cell_angle_alpha 90.00
_cell_angle_beta 90.00
_cell_angle_gamma 120.00
loop_
_atom_site_label
_atom_site_type_symbol
_atom_site_fract_x
_atom_site_fract_y
_atom_site_fract_z
Nd1 Nd 0.0543 0.2633 0.1514
V1 V 0.0000 0.0000 0.5000
O1 O 0.0415 0.1808 0.3935
O2 O 0.0409 0.2273 0.9044
```

Properties
- magnetization (μB per formula unit) = 1.17
- V (Å³ per cell) = 859.9
- DFT total energy (eV/atom) = -8.012